This record from the Alexandria database describes crystalline K2RbVO4 at its relaxed geometry. The functional is GGA+U.

The structure in CIF format:
```
data_K2RbVO4
_chemical_formula_sum 'K4 Rb2 V2 O8'
_symmetry_space_group_name_H-M 'I -4 2 m'
_symmetry_Int_Tables_number 121
_symmetry_space_group_name_Hall 'I -4 2'
_cell_length_a 6.519
_cell_length_b 6.519
_cell_length_c 7.602
_cell_angle_alpha 90.00
_cell_angle_beta 90.00
_cell_angle_gamma 90.00
loop_
_atom_site_label
_atom_site_fract_x
_atom_site_fract_y
_atom_site_fract_z
K1 0.000 0.500 0.250
Rb1 0.000 0.000 0.000
V1 0.000 0.000 0.500
O1 0.157 0.157 0.631
```

Volume, Å³ per atom: 20.2
Electronic total energy, eV/atom: -5.725
N(E_F), states/eV/cell: 0.00
Size of the total moment, μB per formula unit: 0.2
Crystal system: tetragonal